(1)
Below is AgRu after structural relaxation, with properties calculated at the PBE-GGA level.

The structure belongs to space group Pnma (No. 62); the cell edges are 4.7132, 4.6594 and 5.7237 Å and the angles 90.00°, 90.00° and 90.00°. The asymmetric unit holds Ag at (0.0796, 0.2500, 0.1279) and Ru at (0.0657, 0.2500, 0.6337).


(2)
Below is AgRu after structural relaxation, with properties calculated at the PBE-GGA level.

The structure belongs to space group P6_3/mmc (No. 194); the cell edges are 4.0400, 4.0400 and 5.5540 Å and the angles 90.00°, 90.00° and 120.00°. The asymmetric unit holds Ag at (0.0000, 0.0000, 0.0000) and Ru at (0.3333, 0.6667, 0.2500).


(3)
Below is AgRu after structural relaxation, with properties calculated at the PBE-GGA level.

The structure belongs to space group P6_3/mmc (No. 194); the cell edges are 4.3148, 4.3148 and 4.7321 Å and the angles 90.00°, 90.00° and 120.00°. The asymmetric unit holds Ag at (0.3333, 0.6667, 0.2500) and Ru at (0.0000, 0.0000, 0.0000).


(4)
Below is AgRu2 after structural relaxation, with properties calculated at the PBE-GGA level.

The structure belongs to space group P4/mmm (No. 123); the cell edges are 4.6820, 4.6820 and 2.5725 Å and the angles 90.00°, 90.00° and 90.00°. The asymmetric unit holds Ag at (0.0000, 0.0000, 0.0000) and Ru at (0.0000, 0.5000, 0.5000).

The offset from the most stable computed form is 1282 meV/atom.


(5)
Below is Ag3Ru after structural relaxation, with properties calculated at the PBE-GGA level.

The structure belongs to space group R-3m (No. 166, hexagonal axes); the cell edges are 2.8160, 2.8160 and 29.2157 Å and the angles 90.00°, 90.00° and 120.00°. The asymmetric unit holds Ag at (0.0000, 0.0000, 0.0000), Ag at (0.0000, 0.0000, 0.2475) and Ru at (0.0000, 0.0000, 0.5000).


(6)
Below is AgRu2 after structural relaxation, with properties calculated at the PBE-GGA level.

The structure belongs to space group P-3m1 (No. 164); the cell edges are 3.6694, 3.6694 and 4.7508 Å and the angles 90.00°, 90.00° and 120.00°. The asymmetric unit holds Ag at (0.0000, 0.0000, 0.0000) and Ru at (0.3333, 0.6667, 0.3920).

The offset from the most stable computed form is 716 meV/atom.


(7)
Below is AgRu after structural relaxation, with properties calculated at the PBE-GGA level.

The structure belongs to space group I4/mmm (No. 139); the cell edges are 8.6698, 8.6698 and 3.7207 Å and the angles 90.00°, 90.00° and 90.00°. The asymmetric unit holds Ag at (0.1621, 0.1621, 0.0000) and Ru at (0.0000, 0.3540, 0.5000).


(8)
Below is Ag3Ru after structural relaxation, with properties calculated at the PBE-GGA level.

The structure belongs to space group Cmmm (No. 65); the cell edges are 2.8566, 4.7804 and 9.9368 Å and the angles 90.00°, 90.00° and 90.00°. The asymmetric unit holds Ag at (0.0000, 0.0000, 0.0000), Ag at (0.0000, 0.5000, 0.2549) and Ru at (0.0000, 0.0000, 0.5000).


Formation enthalpy at 0 K values, unit meV per atom, following the record order: 627; 1506; 1101; 1575; 330; 1009; 626; 371.